Record 1
The following is a DFT calculation (GGA-PBE) of an optimized crystal structure of Na2NiPH.

Calculated values
- DFT total energy: -0.213 Ry/atom
- Magnetic moment: 0.188 μB/atom

CIF file:
```
data_Na2NiPH
_cell_length_a 5.552
_cell_length_b 5.552
_cell_length_c 3.218
_cell_angle_alpha 90.00
_cell_angle_beta 90.00
_cell_angle_gamma 90.00
_space_group_name_H-M_alt 'P 4/m m m'
_space_group_IT_number 123
_space_group_name_Hall '-P 4 2'
loop_
_atom_site_label
_atom_site_type_symbol
_atom_site_fract_x
_atom_site_fract_y
_atom_site_fract_z
Na1 Na 0.000 0.500 0.000
Ni1 Ni 0.000 0.000 0.500
P1 P 0.500 0.500 0.000
H1 H 0.500 0.500 0.500
```

---

Record 2
The following is a DFT calculation (GGA-PBE) of an optimized crystal structure of NaNiH6Pb.

Calculated values
- DFT total energy: -0.247 Ry/atom
- Magnetic moment: 0.000 μB/atom

CIF file:
```
data_NaNiH6Pb
_cell_length_a 9.258
_cell_length_b 4.730
_cell_length_c 4.584
_cell_angle_alpha 90.00
_cell_angle_beta 94.97
_cell_angle_gamma 90.00
_space_group_name_H-M_alt 'C 1 m 1'
_space_group_IT_number 8
_space_group_name_Hall 'C -2y'
loop_
_atom_site_label
_atom_site_type_symbol
_atom_site_fract_x
_atom_site_fract_y
_atom_site_fract_z
Na1 Na 0.000 0.000 0.000
Ni1 Ni 0.308 0.000 0.823
H1 H 0.160 0.000 0.633
H2 H 0.257 0.227 0.033
H3 H 0.381 0.217 0.622
H4 H 0.448 0.000 0.021
Pb1 Pb 0.199 0.500 0.459
```